[1]
Au4Br5 PBE relaxed; raw total energy = -2.120 eV/atom; energy relative to the elements, uncorrected = 0.266 eV/atom; symmetry = P6_3/mcm; calculated volume = 25.0 Å³/atom
1.0
8.1071 0.0000 0.0000
-4.0536 7.0210 0.0000
0.0000 0.0000 7.8911
Au Br
8 10
Cartesian
0.0000 0.0000 0.0000
0.0000 0.0000 3.9455
-1.7204 2.9798 1.9728
-2.3332 4.0412 5.9183
3.4408 0.0000 1.9728
1.7204 2.9798 5.9183
4.6664 0.0000 5.9183
2.3332 4.0412 1.9728
-1.0180 1.7632 5.9183
-3.0356 5.2578 1.9728
2.0359 0.0000 5.9183
1.0180 1.7632 1.9728
0.0000 4.6806 0.0000
0.0000 4.6806 3.9455
4.0536 2.3403 0.0000
4.0536 2.3403 3.9455
6.0712 0.0000 1.9728
3.0356 5.2578 5.9183

---

[2]
AuBr2 PBE relaxed; raw total energy = -1.935 eV/atom; energy relative to the elements, uncorrected = 0.272 eV/atom; symmetry = Immm; calculated volume = 28.0 Å³/atom
1.0
-1.4338 1.9845 7.3757
1.4338 -1.9845 7.3757
1.4338 1.9845 -7.3757
Au Br
1 2
Cartesian
0.0000 0.0000 0.0000
0.0000 0.0000 5.4927
0.0000 0.0000 9.2587

---

[3]
AuBr PBE relaxed; raw total energy = -2.331 eV/atom; energy relative to the elements, uncorrected = 0.144 eV/atom; symmetry = I-43m; calculated volume = 38.5 Å³/atom
1.0
-4.2550 4.2550 4.2550
4.2550 -4.2550 4.2550
4.2550 4.2550 -4.2550
Au Br
4 4
Cartesian
1.4917 1.4917 -1.4917
1.4917 -1.4917 1.4917
-1.4917 1.4917 1.4917
2.7633 2.7633 2.7633
2.9334 2.9334 -2.9334
2.9334 -2.9334 2.9334
1.3216 1.3216 1.3216
-2.9334 2.9334 2.9334

---

[4]
AuBr3 PBE relaxed; raw total energy = -1.582 eV/atom; energy relative to the elements, uncorrected = 0.492 eV/atom; symmetry = P4/mmm; calculated volume = 27.0 Å³/atom
1.0
6.2749 0.0000 0.0000
0.0000 6.2749 0.0000
0.0000 0.0000 2.7441
Au Br
1 3
Cartesian
0.0000 0.0000 0.0000
0.0000 3.1374 1.3721
3.1374 0.0000 1.3721
3.1374 3.1374 0.0000